8
Lattice="2.696 0.000 0.000 0.000 4.441 0.000 0.000 0.000 9.012" Properties=species:S:1:pos:R:3 comment="AlCu2Re (PBE-GGA, relaxed)" sg="Immm (71)" formation_enthalpy_0k_ev_per_atom=0.086 pbc="T T T"
Al 0.000 0.000 0.000
Al 1.348 2.220 4.506
Cu 0.000 2.220 2.326
Cu 0.000 2.220 6.685
Cu 1.348 0.000 2.179
Cu 1.348 0.000 6.832
Re 0.000 0.000 4.506
Re 1.348 2.220 0.000

20
Lattice="9.734 0.000 0.000 0.000 9.734 0.000 0.000 0.000 3.020" Properties=species:S:1:pos:R:3 comment="TmMg2B2Rh5 (PBE-GGA, relaxed)" sg="P4/mbm (127)" formation_enthalpy_0k_ev_per_atom=-0.579 pbc="T T T"
Tm 0.000 0.000 0.000
Tm 4.867 4.867 0.000
Mg 1.726 3.141 0.000
Mg 3.141 8.008 0.000
Mg 6.593 1.726 0.000
Mg 8.008 6.593 0.000
B 1.185 6.052 0.000
B 3.683 1.185 0.000
B 6.052 8.550 0.000
B 8.550 3.683 0.000
Rh 0.000 4.867 1.510
Rh 0.689 7.518 1.510
Rh 2.216 0.689 1.510
Rh 2.651 5.556 1.510
Rh 4.178 2.651 1.510
Rh 4.867 0.000 1.510
Rh 5.556 7.083 1.510
Rh 7.083 4.178 1.510
Rh 7.518 9.045 1.510
Rh 9.045 2.216 1.510

16
Lattice="6.880 0.000 0.000 0.000 6.880 0.000 0.000 0.000 6.880" Properties=species:S:1:pos:R:3 comment="LiTbHgPt (PBE-GGA, relaxed)" sg="F-43m (216)" formation_enthalpy_0k_ev_per_atom=-0.636 pbc="T T T"
Li 0.000 0.000 0.000
Li 0.000 3.440 3.440
Li 3.440 0.000 3.440
Li 3.440 3.440 0.000
Tb 0.000 0.000 3.440
Tb 0.000 3.440 0.000
Tb 3.440 0.000 0.000
Tb 3.440 3.440 3.440
Hg 1.720 1.720 1.720
Hg 1.720 5.160 5.160
Hg 5.160 1.720 5.160
Hg 5.160 5.160 1.720
Pt 1.720 1.720 5.160
Pt 1.720 5.160 1.720
Pt 5.160 1.720 1.720
Pt 5.160 5.160 5.160

22
Lattice="3.797 -5.336 0.000 3.797 5.336 0.000 0.000 0.000 7.657" Properties=species:S:1:pos:R:3 comment="Tb3TeO7 (PBE-GGA, relaxed)" total_energy_ev_per_atom=-7.460 sg="C222_1 (20)" pbc="T T T"
Tb 0.133 0.000 0.000
Tb 2.015 2.512 1.940
Tb 5.579 2.512 1.888
Tb 2.015 -2.512 5.717
Tb 5.579 -2.512 5.769
Tb 7.460 0.000 3.828
Te 3.788 0.000 3.828
Te 3.806 0.000 0.000
O 3.797 3.944 5.743
O 3.797 3.861 1.914
O 2.211 1.334 7.464
O 2.311 1.356 4.078
O 2.211 -1.334 0.193
O 3.797 0.743 1.914
O 2.311 -1.356 3.579
O 5.282 1.356 7.407
O 3.797 -0.743 5.743
O 5.383 1.334 4.021
O 5.282 -1.356 0.249
O 5.383 -1.334 3.635
O 3.797 -3.861 5.743
O 3.797 -3.944 1.914

no.,DOS at the Fermi energy (states/eV/atom)
1,0.50
2,0.21
3,0.41
4,0.19